(1)
Compound: RbCuAs2
Source: Alexandria via LeMat-Bulk
Functional: PBE-GGA
Structure: optimized geometry

Output
Spin magnetization: 0.00 μB/cell
Crystal system: cubic

Cell lengths 5.0306, 5.0306, 5.0306 Å; angles 60.00, 60.00, 60.00 degrees
Closest atoms and distances in Å follow each position.
Positions (direct):
Rb: 0.0000 0.0000 0.0000  8 As 3.08
Cu: 0.5000 0.5000 0.5000  8 As 3.08
As: 0.2500 0.2500 0.2500  4 Cu 3.08, 4 Rb 3.08
As: 0.7500 0.7500 0.7500  4 Rb 3.08, 4 Cu 3.08

(2)
Compound: RbCuAs2
Source: Alexandria via LeMat-Bulk
Functional: PBE-GGA
Structure: optimized geometry

Output
Spin magnetization: 0.00 μB/cell
Crystal system: tetragonal

Cell lengths 9.0197, 9.0197, 9.0197 Å; angles 145.96, 145.96, 48.90 degrees
Closest atoms and distances in Å follow each position.
Positions (direct):
Rb: 0.3750 0.6250 0.7500  8 As 3.60, 4 Cu 3.73
Rb: 0.6250 0.3750 0.2500  8 As 3.60, 4 Cu 3.73
Cu: 0.1250 0.8750 0.2500  4 As 2.44
Cu: 0.8750 0.1250 0.7500  4 As 2.44
As: 0.0000 0.0000 0.0000  2 Cu 2.44, 2 As 2.64
As: 0.0000 0.0000 0.5000  2 Cu 2.44, 2 As 2.64
As: 0.0000 0.5000 0.0000  2 Cu 2.44, 2 As 2.64
As: 0.5000 0.0000 0.5000  2 Cu 2.44, 2 As 2.64

Most stable structure - (2); separation to the second - 651 meV per atom.